# 1
Compound: TiVSn
Source: Alexandria
Functional: PBE
Structure: relaxed

abc: 2.9154 4.5320 4.5320
angles: 120.00 90.00 90.00
With the nearest neighbours (Å) after each atom.
Positions (direct):
Ti1 0.0511 0.0000 0.0000  3 V 2.72, 3 Sn 2.87, 2 Ti 2.92
Sn1 0.6474 0.6667 0.3333  3 V 2.80, 3 Ti 2.87, 2 Sn 2.92
V1 0.3015 0.3333 0.6667  3 Ti 2.72, 3 Sn 2.80, 2 V 2.92

Computed properties:
ΔH_f (0 K)	0.0211	eV per atom

---

# 2
Compound: Ti12V3Sn5
Source: Alexandria
Functional: PBE
Structure: relaxed

abc: 13.3676 13.3676 13.3676
angles: 109.47 109.47 109.47
With the nearest neighbours (Å) after each atom.
Positions (direct):
V1 0.2500 0.1250 0.3750  4 Ti 2.48
Ti1 0.3399 0.7594 0.3979  1 V 2.48, 1 Ti 2.65, 2 Sn 2.71-2.74
Ti2 0.8979 0.0580 0.6385  1 V 2.48, 1 Ti 2.65, 2 Sn 2.71-2.74
Sn1 0.2500 0.8750 0.1250  4 Ti 2.74
Ti3 0.4195 0.6601 0.0580  1 V 2.48, 1 Ti 2.65, 2 Sn 2.71-2.74
Ti4 0.8979 0.8399 0.7594  1 V 2.48, 1 Ti 2.65, 2 Sn 2.71-2.74
V2 0.2500 0.6250 0.8750  4 Ti 2.48
Ti5 0.5580 0.6385 0.3979  1 V 2.48, 1 Ti 2.65, 2 Sn 2.71-2.74
V3 0.6250 0.3750 0.7500  4 Ti 2.48
Ti6 0.3615 0.9195 0.7594  1 V 2.48, 1 Ti 2.65, 2 Sn 2.71-2.74
Ti7 0.7594 0.4195 0.3615  1 V 2.48, 1 Ti 2.65, 2 Sn 2.71-2.74
Sn2 0.7500 0.1250 0.8750  4 Ti 2.74
Ti8 0.3979 0.2594 0.3399  1 V 2.48, 1 Ti 2.65, 2 Sn 2.71-2.74
Ti9 0.1385 0.7406 0.5805  1 V 2.48, 1 Ti 2.65, 2 Sn 2.71-2.74
Ti10 0.1601 0.0580 0.9195  1 V 2.48, 1 Ti 2.65, 2 Sn 2.71-2.74
Ti11 0.6021 0.8615 0.4420  1 V 2.48, 1 Ti 2.65, 2 Sn 2.71-2.74
V4 0.8750 0.7500 0.1250  4 Ti 2.48
Ti12 0.5805 0.3399 0.9420  1 V 2.48, 1 Ti 2.65, 2 Sn 2.71-2.74
Sn3 0.5000 0.5000 0.0000  6 Ti 2.71
Sn4 0.0000 0.0000 0.0000  6 Ti 2.71
Ti13 0.8399 0.8979 0.2594  1 V 2.48, 1 Ti 2.65, 2 Sn 2.71-2.74
V5 0.7500 0.3750 0.1250  4 Ti 2.48
Ti14 0.1601 0.1021 0.7406  1 V 2.48, 1 Ti 2.65, 2 Sn 2.71-2.74
Ti15 0.7406 0.1385 0.0805  1 V 2.48, 1 Ti 2.65, 2 Sn 2.71-2.74
Sn5 0.8750 0.6250 0.7500  4 Ti 2.74
Sn6 0.5000 0.5000 0.5000  6 Ti 2.71
V6 0.6250 0.2500 0.3750  4 Ti 2.48
Ti16 0.2594 0.3979 0.8399  1 V 2.48, 1 Ti 2.65, 2 Sn 2.71-2.74
Sn7 0.0000 0.0000 0.5000  6 Ti 2.71
Sn8 0.1250 0.3750 0.2500  4 Ti 2.74
Ti17 0.9195 0.5580 0.1601  1 V 2.48, 1 Ti 2.65, 2 Sn 2.71-2.74
V7 0.3750 0.6250 0.2500  4 Ti 2.48
V8 0.1250 0.8750 0.7500  4 Ti 2.48
Ti18 0.1021 0.9420 0.3615  1 V 2.48, 1 Ti 2.65, 2 Sn 2.71-2.74
Ti19 0.9195 0.3615 0.2594  1 V 2.48, 1 Ti 2.65, 2 Sn 2.71-2.74
Ti20 0.0580 0.1601 0.4195  1 V 2.48, 1 Ti 2.65, 2 Sn 2.71-2.74
Ti21 0.3979 0.1385 0.5580  1 V 2.48, 1 Ti 2.65, 2 Sn 2.71-2.74
Ti22 0.4195 0.7594 0.8615  1 V 2.48, 1 Ti 2.65, 2 Sn 2.71-2.74
Sn9 0.5000 0.0000 0.0000  6 Ti 2.71
Ti23 0.0805 0.6385 0.7406  1 V 2.48, 1 Ti 2.65, 2 Sn 2.71-2.74
Ti24 0.4420 0.3615 0.6021  1 V 2.48, 1 Ti 2.65, 2 Sn 2.71-2.74
Ti25 0.3399 0.5805 0.4420  1 V 2.48, 1 Ti 2.65, 2 Sn 2.71-2.74
Ti26 0.8399 0.9420 0.0805  1 V 2.48, 1 Ti 2.65, 2 Sn 2.71-2.74
Sn10 0.7500 0.6250 0.3750  4 Ti 2.74
Sn11 0.8750 0.2500 0.6250  4 Ti 2.74
Ti27 0.7594 0.3399 0.8979  1 V 2.48, 1 Ti 2.65, 2 Sn 2.71-2.74
Ti28 0.6601 0.2406 0.6021  1 V 2.48, 1 Ti 2.65, 2 Sn 2.71-2.74
Ti29 0.8615 0.6021 0.9420  1 V 2.48, 1 Ti 2.65, 2 Sn 2.71-2.74
Ti30 0.4420 0.0805 0.3399  1 V 2.48, 1 Ti 2.65, 2 Sn 2.71-2.74
Sn12 0.3750 0.1250 0.7500  4 Ti 2.74
Ti31 0.6021 0.7406 0.6601  1 V 2.48, 1 Ti 2.65, 2 Sn 2.71-2.74
V9 0.8750 0.1250 0.2500  4 Ti 2.48
Ti32 0.0805 0.4420 0.8399  1 V 2.48, 1 Ti 2.65, 2 Sn 2.71-2.74
Ti33 0.9420 0.1021 0.8615  1 V 2.48, 1 Ti 2.65, 2 Sn 2.71-2.74
Ti34 0.5580 0.9195 0.6601  1 V 2.48, 1 Ti 2.65, 2 Sn 2.71-2.74
Sn13 0.6250 0.8750 0.2500  4 Ti 2.74
V10 0.1250 0.2500 0.8750  4 Ti 2.48
Sn14 0.6250 0.7500 0.8750  4 Ti 2.74
Sn15 0.5000 0.0000 0.5000  6 Ti 2.71
V11 0.7500 0.8750 0.6250  4 Ti 2.48
Sn16 0.0000 0.5000 0.0000  6 Ti 2.71
Sn17 0.1250 0.7500 0.3750  4 Ti 2.74
Ti35 0.0580 0.8979 0.1385  1 V 2.48, 1 Ti 2.65, 2 Sn 2.71-2.74
Ti36 0.1385 0.3979 0.0580  1 V 2.48, 1 Ti 2.65, 2 Sn 2.71-2.74
Ti37 0.2406 0.6601 0.1021  1 V 2.48, 1 Ti 2.65, 2 Sn 2.71-2.74
Sn18 0.3750 0.2500 0.1250  4 Ti 2.74
Ti38 0.8615 0.2594 0.4195  1 V 2.48, 1 Ti 2.65, 2 Sn 2.71-2.74
Sn19 0.0000 0.5000 0.5000  6 Ti 2.71
Ti39 0.1021 0.1601 0.2406  1 V 2.48, 1 Ti 2.65, 2 Sn 2.71-2.74
Ti40 0.6601 0.4195 0.5580  1 V 2.48, 1 Ti 2.65, 2 Sn 2.71-2.74
Ti41 0.2406 0.5805 0.6385  1 V 2.48, 1 Ti 2.65, 2 Sn 2.71-2.74
Ti42 0.3615 0.4420 0.1021  1 V 2.48, 1 Ti 2.65, 2 Sn 2.71-2.74
Ti43 0.9420 0.8399 0.5805  1 V 2.48, 1 Ti 2.65, 2 Sn 2.71-2.74
V12 0.3750 0.7500 0.6250  4 Ti 2.48
Sn20 0.2500 0.3750 0.6250  4 Ti 2.74
Ti44 0.6385 0.5580 0.8979  1 V 2.48, 1 Ti 2.65, 2 Sn 2.71-2.74
Ti45 0.2594 0.8615 0.9195  1 V 2.48, 1 Ti 2.65, 2 Sn 2.71-2.74
Ti46 0.6385 0.0805 0.2406  1 V 2.48, 1 Ti 2.65, 2 Sn 2.71-2.74
Ti47 0.5805 0.2406 0.1385  1 V 2.48, 1 Ti 2.65, 2 Sn 2.71-2.74
Ti48 0.7406 0.6021 0.1601  1 V 2.48, 1 Ti 2.65, 2 Sn 2.71-2.74

Computed properties:
ΔH_f (0 K)	0.6638	eV per atom

---

# 3
Compound: TiV2Sn
Source: Alexandria
Functional: PBE
Structure: relaxed

abc: 2.7886 7.1272 6.9491
angles: 90.00 90.00 90.00
With the nearest neighbours (Å) after each atom.
Positions (direct):
V1 0.5000 0.2212 0.0744  1 V 2.44, 1 Ti 2.62
Ti1 0.5000 0.5465 0.2500  4 V 2.62-2.80, 2 Ti 2.79
Ti2 0.5000 0.4535 0.7500  4 V 2.62-2.80, 2 Ti 2.79
V2 0.5000 0.7788 0.9256  1 V 2.44, 1 Ti 2.62
Sn1 0.0000 0.0851 0.7500  2 Sn 2.79, 8 V 2.82-2.86, 2 Ti 2.97
Sn2 0.0000 0.9149 0.2500  2 Sn 2.79, 8 V 2.82-2.86, 2 Ti 2.97
V3 0.5000 0.2212 0.4256  1 V 2.44, 1 Ti 2.62
V4 0.5000 0.7788 0.5744  1 V 2.44, 1 Ti 2.62

Computed properties:
ΔH_f (0 K)	0.3829	eV per atom

---

# 4
Compound: Ti5V2Sn
Source: Alexandria
Functional: PBE
Structure: relaxed

abc: 2.7797 7.1615 7.1615
angles: 77.37 78.81 78.81
With the nearest neighbours (Å) after each atom.
Positions (direct):
Ti1 0.3676 0.8724 0.3924  3 V 2.70-2.82, 7 Ti 2.78-2.93
V1 0.2413 0.2587 0.2587  7 Ti 2.61-2.82, 2 V 2.78
V2 0.7587 0.7413 0.7413  7 Ti 2.61-2.82, 2 V 2.78
Ti2 0.3676 0.3924 0.8724  3 V 2.70-2.82, 7 Ti 2.78-2.93
Sn1 0.0000 0.0000 0.0000  2 Sn 2.78, 8 Ti 3.07
Ti3 0.6324 0.1276 0.6076  3 V 2.70-2.82, 7 Ti 2.78-2.93
Ti4 0.6324 0.6076 0.1276  3 V 2.70-2.82, 7 Ti 2.78-2.93
Ti5 0.0000 0.5000 0.5000  2 V 2.61, 2 Ti 2.78

Computed properties:
ΔH_f (0 K)	0.0535	eV per atom

---

# 5
Compound: TiVSn2
Source: Alexandria
Functional: PBE
Structure: relaxed

abc: 7.4927 7.4927 6.0757
angles: 51.93 51.93 90.00
With the nearest neighbours (Å) after each atom.
Positions (direct):
Ti1 0.2500 0.7500 0.5000  4 Sn 2.80, 2 V 2.97
Sn1 0.3750 0.3663 0.7500  2 V 2.71, 2 Ti 2.80, 2 Sn 2.98
Sn2 0.6337 0.1250 0.2500  2 V 2.71, 2 Ti 2.80, 2 Sn 2.98
V1 0.0000 0.0000 0.0000  4 Sn 2.71, 2 Ti 2.97
Sn3 0.1163 0.6250 0.2500  2 V 2.71, 2 Ti 2.80, 2 Sn 2.98
V2 0.7500 0.2500 0.5000  4 Sn 2.71, 2 Ti 2.97
Ti2 0.5000 0.5000 0.0000  4 Sn 2.80, 2 V 2.97
Sn4 0.8750 0.8837 0.7500  2 V 2.71, 2 Ti 2.80, 2 Sn 2.98

Computed properties:
ΔH_f (0 K)	0.2906	eV per atom
energy above the most stable polymorph in this dataset	250	meV per atom

---

# 6
Compound: TiVSn
Source: Alexandria
Functional: PBE
Structure: relaxed

abc: 4.5257 5.6427 8.0923
angles: 90.00 90.00 90.00
With the nearest neighbours (Å) after each atom.
Positions (direct):
V1 0.7500 0.3122 0.5864  5 Sn 2.70-2.90, 3 Ti 2.77-2.81
V2 0.2500 0.6878 0.4136  5 Sn 2.70-2.90, 3 Ti 2.77-2.81
Sn1 0.2500 0.2016 0.4198  5 V 2.70-2.90, 3 Ti 2.98
Ti1 0.7500 0.9824 0.2350  3 V 2.77-2.81, 2 Ti 2.83, 5 Sn 2.98-3.03
V3 0.2500 0.1878 0.0864  5 Sn 2.70-2.90, 3 Ti 2.77-2.81
V4 0.7500 0.8122 0.9136  5 Sn 2.70-2.90, 3 Ti 2.77-2.81
Ti2 0.2500 0.0176 0.7650  3 V 2.77-2.81, 2 Ti 2.83, 5 Sn 2.98-3.03
Ti3 0.7500 0.4824 0.2650  3 V 2.77-2.81, 2 Ti 2.83, 5 Sn 2.98-3.03
Ti4 0.2500 0.5176 0.7350  3 V 2.77-2.81, 2 Ti 2.83, 5 Sn 2.98-3.03
Sn2 0.7500 0.7984 0.5802  5 V 2.70-2.90, 3 Ti 2.98
Sn3 0.2500 0.7016 0.0802  5 V 2.70-2.90, 3 Ti 2.98
Sn4 0.7500 0.2984 0.9198  5 V 2.70-2.90, 3 Ti 2.98

Computed properties:
ΔH_f (0 K)	-0.1294	eV per atom